Entry 1:
The following is a DFT calculation (PBE) of a relaxed La2BeFe crystal.

Space-group type: I-4m2
Formation energy from the elements: 1.64 eV/f.u.
Energy: -20.4 eV for the cell shown
Crystal system: tetragonal

abc: 5.4448 5.4448 5.4448
angles: 132.52 132.52 69.41
Atoms (fractional coordinates):
Be: 0.5000 0.5000 0.0000
Fe: 0.7500 0.2500 0.5000
La: 0.0000 0.0000 0.0000
La: 0.2500 0.7500 0.5000

---

Entry 2:
The following is a DFT calculation (PBE) of a relaxed RhSeN2O crystal.

Formation energy from raw total energies: 1.964 eV per atom
Space-group type: P4/mmm
Energy: -22.6 eV for the cell shown
Crystal system: tetragonal

abc: 3.7923 3.7923 3.9293
angles: 90.00 90.00 90.00
Atoms (fractional coordinates):
Rh: 0.5000 0.5000 0.5000
O: 0.0000 0.0000 0.0000
Se: 0.0000 0.0000 0.5000
N: 0.0000 0.5000 0.0000
N: 0.5000 0.0000 0.0000

---

Entry 3:
The following is a DFT calculation (PBE) of a relaxed Ge2Au2S crystal.

Formation energy from raw total energies: 0.225 eV per atom
Space-group type: P4/mbm
Energy: -37.6 eV for the cell shown
Crystal system: tetragonal

abc: 7.2195 7.2195 3.7594
angles: 90.00 90.00 90.00
Atoms (fractional coordinates):
Ge: 0.1564 0.6564 0.5000
Ge: 0.6564 0.8436 0.5000
Ge: 0.8436 0.3436 0.5000
Ge: 0.3436 0.1564 0.5000
Au: 0.3574 0.8574 0.0000
Au: 0.8574 0.6426 0.0000
Au: 0.6426 0.1426 0.0000
Au: 0.1426 0.3574 0.0000
S: 0.0000 0.0000 0.0000
S: 0.5000 0.5000 0.0000

---

Entry 4:
The following is a DFT calculation (PBE) of a relaxed Be2NiMo crystal.

Space-group type: Amm2
Formation energy from the elements: -0.35 eV/f.u.
Energy: -24.4 eV for the cell shown
Crystal system: orthorhombic

abc: 3.5771 2.5717 4.8288
angles: 74.53 90.00 90.00
Atoms (fractional coordinates):
Ni: 0.5000 0.7807 0.8141
Mo: 0.0000 0.4526 0.4681
Be: 0.0000 0.1933 0.9906
Be: 0.5000 0.0733 0.2272

---

Entry 5:
The following is a DFT calculation (PBE) of a relaxed DyCoSn crystal.

Space-group type: F-43m
Formation energy from the elements: -1.04 eV/f.u.
Energy: -16.8 eV for the cell shown
Crystal system: cubic

abc: 4.5273 4.5273 4.5273
angles: 60.00 60.00 60.00
Atoms (fractional coordinates):
Co: 0.2500 0.2500 0.2500
Sn: 0.0000 0.0000 0.0000
Dy: 0.5000 0.5000 0.5000

---

Entry 6:
The following is a DFT calculation (PBE) of a relaxed Pr2Ho2Tm3 crystal.

Space-group type: P2/m
Formation energy from the elements: 1.55 eV/f.u.
Energy: -30.6 eV for the cell shown
Crystal system: monoclinic

abc: 6.2836 3.5347 12.3924
angles: 90.00 59.71 90.00
Atoms (fractional coordinates):
Pr: 0.3097 0.0000 0.1893
Pr: 0.6903 0.0000 0.8107
Ho: 0.2727 0.5000 0.7278
Ho: 0.7273 0.5000 0.2722
Tm: 0.2477 0.0000 0.4996
Tm: 0.0000 0.0000 0.0000
Tm: 0.7523 0.0000 0.5004

---

Entry 7:
The following is a DFT calculation (PBE) of a relaxed RbYF4 crystal.

Formation energy from raw total energies: -3.663 eV per atom
Space-group type: P4/mmm
Energy: -36.9 eV for the cell shown
Crystal system: tetragonal

abc: 3.9042 3.9042 6.6173
angles: 90.00 90.00 90.00
Atoms (fractional coordinates):
Rb: 0.0000 0.0000 0.0000
Y: 0.5000 0.5000 0.5000
F: 0.5000 0.0000 0.6921
F: 0.0000 0.5000 0.6921
F: 0.5000 0.0000 0.3079
F: 0.0000 0.5000 0.3079

---

Entry 8:
The following is a DFT calculation (PBE) of a relaxed TaBePt2 crystal.

Space-group type: P2/m
Formation energy from the elements: -2.04 eV/f.u.
Energy: -29.7 eV for the cell shown
Crystal system: monoclinic

abc: 3.8008 2.8046 6.2564
angles: 62.18 90.00 90.00
Atoms (fractional coordinates):
Be: 0.5000 0.7500 0.7500
Pt: 0.0000 0.0181 0.9903
Pt: 0.0000 0.4819 0.5097
Ta: 0.5000 0.2500 0.2500